Entry 1:
YZr2Ir (PBE-GGA, relaxed); formation energy from the elements = -216 meV per atom
1.0
8.0811 0.0000 0.0000
0.0000 8.0811 0.0000
4.0406 4.0406 2.9899
Y Ir Zr
2 2 4
Direct
0.5000 0.5000 0.0000 Y
0.2500 0.7500 0.5000 Y
0.0000 0.0000 0.0000 Ir
0.7500 0.2500 0.5000 Ir
0.6894 0.1250 0.2500 Zr
0.0606 0.6250 0.2500 Zr
0.3750 0.3106 0.7500 Zr
0.8750 0.9394 0.7500 Zr



Entry 2:
YZrIr2 (PBE-GGA, relaxed); formation energy from the elements = -808 meV per atom
1.0
-2.1706 -0.4374 -2.5923
2.5126 -0.1931 -2.0713
0.2528 -6.8673 0.9471
Y Ir Zr
1 2 1
Direct
0.5000 0.5000 0.2500 Y
0.0000 0.0000 0.9767 Ir
0.0000 0.0000 0.5233 Ir
0.5000 0.5000 0.7500 Zr



Entry 3:
Y5ZrIr6 (PBE-GGA, relaxed); formation energy from the elements = -794 meV per atom
1.0
4.4931 -0.0265 1.4985
0.0376 7.0791 0.0125
-0.0032 -0.0133 7.5055
Y Ir Zr
5 6 1
Direct
0.6665 0.5000 0.6672 Y
0.3320 0.0000 0.3360 Y
0.0000 0.5000 0.0000 Y
0.6680 0.0000 0.6640 Y
0.3335 0.5000 0.3328 Y
0.8390 0.7559 0.3217 Ir
0.8390 0.2441 0.3217 Ir
0.5000 0.2338 0.0000 Ir
0.5000 0.7662 0.0000 Ir
0.1610 0.7559 0.6783 Ir
0.1610 0.2441 0.6783 Ir
0.0000 0.0000 0.0000 Zr